Computed, not measured: crystalline Nb2CrCu2 at its relaxed geometry at the PBE level of DFT.

Lattice parameters (Å, degrees): 7.451 7.451 2.782 90.00 90.00 90.00
Fractional coordinates of all 10 atoms:
Cr  0.000  0.000  0.000
Cr  0.500  0.500  0.000
Nb  0.320  0.820  0.000
Nb  0.820  0.680  0.000
Nb  0.680  0.180  0.000
Nb  0.180  0.320  0.000
Cu  0.117  0.617  0.500
Cu  0.617  0.883  0.500
Cu  0.883  0.383  0.500
Cu  0.383  0.117  0.500

Values from the calculation:
Its energy of formation from the pure elements is 0.579 eV per atom. As for the calculated total energy: -70.1 eV/cell. For the energy above the most stable polymorph in this dataset, the calculation gives 1.30 eV per formula unit. Its crystal system is tetragonal.